[1]
The following is a GGA-PBE calculation of crystalline CsKMnH6 at its relaxed geometry, from Alexandria via LeMat-Bulk.

Summary:
Total energy: -3.510 eV per atom
Space-group type: P-6m2, No. 187

Cell: 5.5880 5.5880 6.2768 Å, 90.00 90.00 60.00°
Each line ends with the local moment (μB).
Atoms (fractional coordinates):
Cs  0.0000  0.0000  0.0000  0.00
K  0.6667  0.6667  0.5000  0.03
Mn  0.3333  0.3333  0.5000  2.76
H  0.2010  0.2016  0.3393  -0.03
H  0.2015  0.2011  0.6607  -0.03
H  0.5973  0.2016  0.6607  -0.03
H  0.2010  0.5974  0.6607  -0.03
H  0.2016  0.5974  0.3393  -0.03
H  0.5973  0.2010  0.3393  -0.03

[2]
The following is a GGA-PBE calculation of crystalline Cs2K6NaH at its relaxed geometry, from Alexandria via LeMat-Bulk.

Summary:
Total energy: -1.263 eV per atom
Space-group type: Cm, No. 8

Cell: 8.5417 8.5429 11.2500 Å, 111.73 111.72 91.36°
Atoms (fractional coordinates):
Cs  0.8028  0.3010  0.6029
Cs  0.3006  0.8034  0.6030
K  0.7883  0.7892  0.0403
K  0.6835  0.6840  0.3714
K  0.2489  0.2490  0.0357
K  0.7889  0.2558  0.0452
K  0.1890  0.1896  0.3730
K  0.2549  0.7891  0.0452
Na  0.3951  0.3957  0.7869
H  0.0469  0.0474  0.0942

[3]
The following is a GGA-PBE calculation of crystalline CsK2NaH4 at its relaxed geometry, from Alexandria via LeMat-Bulk.

Summary:
Total energy: -2.405 eV per atom
Space-group type: Cmcm, No. 63

Cell: 4.0415 7.1143 13.6023 Å, 90.00 90.00 106.50°
Atoms (fractional coordinates):
Cs  0.1102  0.2204  0.7500
Cs  0.8898  0.7796  0.2500
K  0.3676  0.7353  0.5411
K  0.6324  0.2647  0.0411
K  0.6324  0.2647  0.4589
K  0.3676  0.7353  0.9589
Na  0.8410  0.6820  0.7500
Na  0.1590  0.3180  0.2500
H  0.2580  0.5160  0.1224
H  0.7420  0.4840  0.6224
H  0.7420  0.4840  0.8776
H  0.2580  0.5160  0.3776
H  0.0000  0.0000  0.5000
H  0.0000  0.0000  0.0000
H  0.4211  0.8422  0.7500
H  0.5789  0.1578  0.2500